(1)
VASP calculation (PBE) on a relaxed structure of SrLaZn.

Values from the calculation:
For the formation energy, the calculation gives -0.139 eV/atom. The calculation puts the polymorph energy (0 for the lowest one) at 0 meV/atom. The total energy is -2.767 eV per atom. The spin magnetization is 0.1 μB/f.u.

Structure (POSCAR):
```
SrLaZn
1.0
-1.916 1.916 6.963
1.916 -1.916 6.963
1.916 1.916 -6.963
Sr La Zn
1 1 1
Cartesian
0.000 0.000 0.000
0.000 0.000 10.203
0.000 0.000 4.901
```

---

(2)
VASP calculation (PBE) on a relaxed structure of Sr2LaZn.

Values from the calculation:
For the formation energy, the calculation gives 0.188 eV/atom. The total energy is -2.204 eV per atom. The spin magnetization is 0.9 μB/f.u.

Structure (POSCAR):
```
Sr2LaZn
1.0
-4.866 4.866 3.391
4.866 -4.866 3.391
4.866 4.866 -3.391
Sr La Zn
4 2 2
Cartesian
7.298 1.699 -0.848
1.699 2.433 0.848
-2.433 3.167 2.544
3.167 2.433 4.239
4.866 0.000 1.696
0.000 0.000 3.391
0.000 0.000 0.000
0.000 4.866 1.696
```

---

(3)
VASP calculation (PBE) on a relaxed structure of SrLa2Zn.

Values from the calculation:
For the formation energy, the calculation gives 0.188 eV/atom. The total energy is -3.015 eV per atom. The spin magnetization is 2.0 μB/f.u.

Structure (POSCAR):
```
SrLa2Zn
1.0
0.000 4.027 4.027
4.027 0.000 4.027
4.027 4.027 0.000
Sr La Zn
1 2 1
Cartesian
0.000 0.000 0.000
4.027 4.027 4.027
6.040 6.040 6.040
2.013 2.013 2.013
```

---

Which formula does entry 3 have?
SrLa2Zn

---

The highest spin magnetization belongs to which entry?
SrLa2Zn